Compound: CsMnBRh2
Source: the Alexandria database
Functional: PBE-GGA
Structure: relaxed

Cell and atoms, written as POSCAR:
```
CsMnBRh2
1.0
4.6917 0.0000 0.0000
0.0000 4.2097 0.0000
0.0000 0.0000 4.6917
Mn Rh B Cs
1 2 1 1
Cartesian
0.0000 0.0000 0.0000 Mn
0.0000 0.0000 2.3459 Rh
2.3459 0.0000 0.0000 Rh
0.0000 2.1048 0.0000 B
2.3459 2.1048 2.3459 Cs
```

energy of formation from the pure elements = 1.222 eV/atom
electronic total energy = -5.058 eV per atom

Compound: Cs2MnB2S6
Source: the Alexandria database
Functional: PBE-GGA
Structure: relaxed

Cell and atoms, written as POSCAR:
```
Cs2MnB2S6
1.0
-5.0227 -3.4436 -2.2015
0.6946 -3.7609 -5.2255
0.6233 -8.3085 2.0504
S B Mn Cs
6 2 1 2
Cartesian
-2.9565 -10.0652 -1.1735 S
-3.5190 -5.2940 -2.7377 S
-0.1857 -10.2190 -2.6390 S
-0.7482 -5.4478 -4.2032 S
-0.5223 -8.3963 -0.1065 S
-3.1824 -7.1167 -5.2701 S
-2.5458 -5.7738 -4.2075 B
-1.1589 -9.7392 -1.1691 B
0.0000 0.0000 0.0000 Mn
-0.6761 -4.5933 -0.7963 Cs
-3.0286 -10.9197 -4.5804 Cs
```

electronic total energy = -5.024 eV per atom

Question: Among the records above, which one has the lowest electronic total energy?
Answer: CsMnBRh2